! W2AuCl | the Alexandria database | PBE | optimized geometry; values from VASP
! ΔE_f (raw) = 0.8666 eV/atom
! Density = 14.742 g/cm3
! Magnetic moment = 0.0 μB/cell
! E above lowest polymorph = 547.9 meV/atom
! Symmetry = No. 71
&SYSTEM
  ibrav = 0, nat = 4, ntyp = 3
/
ATOMIC_SPECIES
Cl 35.45 Cl.upf
W 183.84 W.upf
Au 196.97 Au.upf
ATOMIC_POSITIONS angstrom
Cl 1.612 1.809 1.234
W 3.775 2.383 0.000
W 0.163 0.103 0.000
Au 3.182 -0.678 1.232
CELL_PARAMETERS angstrom
5.508 -0.001 -0.002
2.369 4.973 0.002
-3.083 -3.841 2.466